[1]
# PBEsol Ni2AsIr, relaxed
# - total magnetization (μB/cell) = 0.00
# - electronic total energy (eV per atom) = -6.852
data_Ni2AsIr
_space_group_name_H-M_alt 'P m m 2'
_space_group_IT_number 25
_cell_length_a 2.827
_cell_length_b 4.052
_cell_length_c 4.355
_cell_angle_alpha 90.00
_cell_angle_beta 90.00
_cell_angle_gamma 90.00
loop_
_space_group_symop_operation_xyz
'x,y,z'
'-x,-y,z'
'-x,y,z'
'x,-y,z'
loop_
_atom_site_label
_atom_site_fract_x
_atom_site_fract_y
_atom_site_fract_z
_atom_site_occupancy
Ni1 0.000 0.000 0.000 1
Ni2 0.000 0.500 0.318 1
As1 0.500 0.500 0.846 1
Ir1 0.500 0.000 0.493 1

[2]
# PBEsol PPdPtO2, relaxed
# - formation energy from raw total energies (meV/atom) = 233
# - total magnetization (μB/cell) = 0.01
data_PPdPtO2
_space_group_name_H-M_alt 'P 4/m m m'
_space_group_IT_number 123
_space_group_name_Hall '-P 4 2'
_cell_length_a 3.677
_cell_length_b 3.677
_cell_length_c 5.414
_cell_angle_alpha 90.00
_cell_angle_beta 90.00
_cell_angle_gamma 90.00
loop_
_atom_site_label
_atom_site_fract_x
_atom_site_fract_y
_atom_site_fract_z
_atom_site_occupancy
P1 0.000 0.000 0.000 1
Pd1 0.500 0.500 0.000 1
Pt1 0.000 0.000 0.500 1
O1 0.000 0.500 0.500 1

[3]
# PBEsol TaTlHg2, relaxed
# - total magnetization (μB/cell) = 0.00
# - electronic total energy (eV per atom) = -3.627
data_TaTlHg2
_space_group_name_H-M_alt 'I m m 2'
_space_group_IT_number 44
_cell_length_a 3.071
_cell_length_b 5.220
_cell_length_c 10.541
_cell_angle_alpha 90.00
_cell_angle_beta 90.00
_cell_angle_gamma 90.00
loop_
_space_group_symop_operation_xyz
'x,y,z'
'-x,-y,z'
'-x,y,z'
'x,-y,z'
'x+1/2,y+1/2,z+1/2'
'-x+1/2,-y+1/2,z+1/2'
'-x+1/2,y+1/2,z+1/2'
'x+1/2,-y+1/2,z+1/2'
loop_
_atom_site_label
_atom_site_fract_x
_atom_site_fract_y
_atom_site_fract_z
_atom_site_occupancy
Ta1 0.000 0.000 0.000 1
Tl1 0.000 0.500 0.743 1
Hg1 0.000 0.000 0.512 1
Hg2 0.000 0.500 0.270 1

[4]
# PBEsol TlHg3, relaxed
# - total magnetization (μB/cell) = 0.00
# - electronic total energy (eV per atom) = -1.098
data_TlHg3
_space_group_name_H-M_alt 'C m m m'
_space_group_IT_number 65
_space_group_name_Hall '-C 2 2'
_cell_length_a 4.361
_cell_length_b 5.013
_cell_length_c 9.112
_cell_angle_alpha 90.00
_cell_angle_beta 90.00
_cell_angle_gamma 90.00
loop_
_atom_site_label
_atom_site_fract_x
_atom_site_fract_y
_atom_site_fract_z
_atom_site_occupancy
Tl1 0.000 0.000 0.000 1
Hg1 0.000 0.000 0.500 1
Hg2 0.000 0.500 0.264 1